No. 1
Below is a relaxed ThSc5Sb4 crystal, with properties calculated at the PBE-GGA level.

The structure in POSCAR format:
```
ThSc5Sb4
1.0
-2.300 -4.496 -2.556
8.510 -4.551 0.347
-2.431 -3.862 8.980
Sb Sc Th
8 10 2
Cartesian
3.512 -7.322 3.452 Sb
5.737 -5.932 -0.998 Sb
0.472 -3.116 -1.212 Sb
-0.070 -9.988 5.096 Sb
-1.622 -2.577 5.991 Sb
0.267 -5.586 3.319 Sb
-0.809 -1.286 2.989 Sb
1.548 -7.417 -0.882 Sb
2.830 -9.691 5.072 Sc
3.103 -4.527 -1.107 Sc
-0.266 -5.149 6.188 Sc
-0.211 -5.484 0.409 Sc
4.045 -7.760 0.583 Sc
0.950 -3.218 1.698 Sc
-2.364 -4.176 3.214 Sc
5.204 -5.493 1.871 Sc
-1.426 -7.415 4.899 Sc
3.988 -7.424 6.362 Sc
0.740 -8.702 2.107 Th
0.000 -0.001 0.000 Th
```

## Properties
The size of the total moment is 0.0431 μB per atom. For the formation energy without anion corrections, the calculation gives -0.499 eV/atom. The symmetry is No. 59.

No. 2
Below is a relaxed TlTe2PtI crystal, with properties calculated at the PBE-GGA level.

The structure in POSCAR format:
```
TlTe2PtI
1.0
5.367 0.000 0.000
0.000 5.367 0.000
0.000 0.000 5.733
I Te Pt Tl
1 2 1 1
Cartesian
0.000 0.000 2.867 I
0.000 2.683 0.000 Te
2.683 0.000 0.000 Te
0.000 0.000 0.000 Pt
2.683 2.683 2.867 Tl
```

## Properties
The size of the total moment is 0.0002 μB per atom. For the formation energy without anion corrections, the calculation gives 0.026 eV/atom. The symmetry is No. 123. As for the polymorph energy (0 for the lowest one): 0 meV per atom.

No. 3
Below is a relaxed TiHO crystal, with properties calculated at the PBE-GGA level.

The structure in POSCAR format:
```
TiHO
1.0
3.348 0.000 0.000
1.674 2.900 0.000
1.674 0.967 2.734
H Ti O
1 1 1
Cartesian
3.348 1.933 1.367 H
1.674 0.967 0.683 Ti
0.000 0.000 0.000 O
```

## Properties
The size of the total moment is 0.3350 μB per atom. The symmetry is No. 216. As for the polymorph energy (0 for the lowest one): 84 meV per atom.

No. 4
Below is a relaxed Sm3HgRu crystal, with properties calculated at the PBE-GGA level.

The structure in POSCAR format:
```
Sm3HgRu
1.0
5.911 0.059 -1.207
-2.746 5.235 -1.207
-0.090 -0.150 8.642
Sm Ru Hg
6 2 2
Cartesian
2.528 3.028 0.867 Sm
3.188 4.132 4.154 Sm
-0.112 1.013 2.074 Sm
0.548 2.116 5.361 Sm
3.498 0.937 6.643 Sm
-0.423 4.207 -0.415 Sm
0.791 1.324 -0.603 Ru
2.374 3.971 -1.810 Ru
-0.512 4.058 3.027 Hg
3.588 1.087 3.201 Hg
```

## Properties
The size of the total moment is 0.0000 μB per atom. For the formation energy, the calculation gives -0.34 eV per atom. The symmetry is No. 69. As for the polymorph energy (0 for the lowest one): 0 meV per atom.

> Among the records above, which one has the highest size of the total moment?

TiHO

Repeat the first record exactly.
Below is a relaxed ThSc5Sb4 crystal, with properties calculated at the PBE-GGA level.

The structure in POSCAR format:
```
ThSc5Sb4
1.0
-2.300 -4.496 -2.556
8.510 -4.551 0.347
-2.431 -3.862 8.980
Sb Sc Th
8 10 2
Cartesian
3.512 -7.322 3.452 Sb
5.737 -5.932 -0.998 Sb
0.472 -3.116 -1.212 Sb
-0.070 -9.988 5.096 Sb
-1.622 -2.577 5.991 Sb
0.267 -5.586 3.319 Sb
-0.809 -1.286 2.989 Sb
1.548 -7.417 -0.882 Sb
2.830 -9.691 5.072 Sc
3.103 -4.527 -1.107 Sc
-0.266 -5.149 6.188 Sc
-0.211 -5.484 0.409 Sc
4.045 -7.760 0.583 Sc
0.950 -3.218 1.698 Sc
-2.364 -4.176 3.214 Sc
5.204 -5.493 1.871 Sc
-1.426 -7.415 4.899 Sc
3.988 -7.424 6.362 Sc
0.740 -8.702 2.107 Th
0.000 -0.001 0.000 Th
```

## Properties
The size of the total moment is 0.0431 μB per atom. For the formation energy without anion corrections, the calculation gives -0.499 eV/atom. The symmetry is No. 59.